Entry from Alexandria: CaLa3Mn4O12 after structural relaxation (PBE with a Hubbard U).

Cell and atoms, written as POSCAR:
```
CaLa3Mn4O12
1.0
-3.779 -3.227 2.363
3.140 -0.177 4.625
-3.678 6.339 2.735
La O Mn Ca
3 12 4 1
Direct
0.008 0.962 0.249
0.993 0.037 0.751
0.507 0.535 0.751
0.221 0.203 0.032
0.724 0.288 0.957
0.781 0.789 0.538
0.289 0.716 0.455
0.217 0.211 0.465
0.577 0.029 0.254
0.072 0.495 0.744
0.777 0.794 0.963
0.427 0.981 0.745
0.917 0.514 0.256
0.282 0.706 0.044
0.717 0.280 0.546
0.500 0.000 0.003
0.001 0.500 0.005
0.500 0.001 0.496
0.000 0.500 0.496
0.490 0.458 0.250
```

Results
Space group ... P1
Electronic total energy ... -154.38 eV/f.u.
Fermi-level density of states ... 0.050 states/eV/atom